CsHgP (PBE, optimized geometry); total moment = 0.00 μB/cell; D(E_F) = 0.0667 states/eV per atom; energy of formation = -0.22 eV per atom; symmetry = No. 1
1.0
5.786 0.000 0.000
0.900 6.647 0.000
2.014 2.107 6.718
Cs Hg P
2 2 2
direct
0.000 0.000 0.000
0.009 0.366 0.397
0.423 0.769 0.330
0.563 0.676 0.744
0.167 0.535 0.808
0.976 0.802 0.625

CsHgP2 (PBE, optimized geometry); total moment = 0.00 μB/cell; D(E_F) = 0.6038 states/eV per atom; energy of formation = 0.15 eV per atom; symmetry = No. 141
1.0
-2.592 2.592 9.342
2.592 -2.592 9.342
2.592 2.592 -9.342
Cs Hg P
2 2 4
direct
0.375 0.625 0.750
0.625 0.375 0.250
0.125 0.875 0.250
0.875 0.125 0.750
0.000 0.000 0.000
0.000 0.000 0.500
0.000 0.500 0.000
0.500 0.000 0.500

CsHg3P (PBE, optimized geometry); total moment = 2.06 μB/cell; D(E_F) = 1.5671 states/eV per atom; energy of formation = 0.69 eV per atom; symmetry = No. 221
1.0
7.063 0.000 0.000
0.000 7.063 0.000
0.000 0.000 7.063
Cs Hg P
1 3 1
direct
0.000 0.000 0.000
0.000 0.000 0.500
0.000 0.500 0.000
0.500 0.000 0.000
0.500 0.500 0.500